Computed, not measured: an optimized crystal structure of TlAsCl5 at the PBE level of DFT.

## Properties
ΔE_f (raw): -0.607 eV per atom
Size of the total moment: 0.000 μB per atom

Lattice parameters (Å, degrees): 11.4679 8.4304 9.9224 90.00 115.33 90.00
Space group C2/c (No. 15)
One atom of each set of equivalent atoms:
1 Tl 0.0000 0.0396 0.2500
2 As 0.0000 0.5000 0.0000
3 Cl 0.0000 0.4400 0.2500
4 Cl 0.0237 0.2152 0.9795
5 Cl 0.2290 0.4695 0.6170



Computed, not measured: an optimized crystal structure of SrYMg2Pt at the PBE level of DFT.

## Properties
Formation energy from the elements: -0.4166 eV/atom
Size of the total moment: 0.000 μB per atom

Lattice parameters (Å, degrees): 5.2672 5.2672 5.3417 90.00 90.00 90.00
Space group P4/mmm (No. 123)
One atom of each set of equivalent atoms:
1 Sr 0.0000 0.0000 0.0000
2 Y 0.5000 0.5000 0.0000
3 Mg 0.0000 0.5000 0.5000
4 Pt 0.5000 0.5000 0.5000